A relaxed K2MgW crystal. Source: Alexandria via LeMat-Bulk, functional PBE.

Crystal system: tetragonal
Uncorrected energy, eV/atom: -3.17
ΔH_f (0 K), eV per atom: 1.017

Cell lengths 3.0267, 3.0267, 12.5959 Å; angles 90.00, 90.00, 90.00 degrees
Closest atoms and distances in Å follow each position.
Atoms (fractional coordinates):
K  0.0000  0.0000  0.0000  4 K 3.03
K  0.5000  0.5000  0.3409  4 K 3.03
Mg  0.0000  0.0000  0.6110  4 W 2.93, 4 Mg 3.03
W  0.5000  0.5000  0.7701  4 Mg 2.93, 4 W 3.03